{
  "formula": "VSn2Mo2",
  "functional": "PBE-GGA",
  "state": "optimized geometry",
  "rho_g_cm3": 8.57,
  "relative_energy_mev_per_atom": 81,
  "total_energy_ha_per_atom": -0.268,
  "dos_at_fermi_per_ev_cell": 10.70,
  "space_group": "P4/mbm, No. 127",
  "formation_energy_mev_per_atom": 477,
  "lattice": [[7.3341, 0.0000, 0.0000], [0.0000, 7.3341, 0.0000], [0.0000, 0.0000, 3.4580]],
  "species": ["Mo", "Mo", "Mo", "Mo", "Sn", "Sn", "Sn", "Sn", "V", "V"],
  "fractional_positions": [[0.1491, 0.6491, 0.5000], [0.6491, 0.8509, 0.5000], [0.8509, 0.3509, 0.5000], [0.3509, 0.1491, 0.5000], [0.3512, 0.8512, 0.0000], [0.8512, 0.6488, 0.0000], [0.6488, 0.1488, 0.0000], [0.1488, 0.3512, 0.0000], [0.0000, 0.0000, 0.0000], [0.5000, 0.5000, 0.0000]]
}